No. 1
A relaxed structure of ErAl2ZnAu2, computed with PBE.

Cell and atoms, written as POSCAR:
```
ErAl2ZnAu2
1.0
-0.8108 3.4146 2.7450
-2.8278 -0.9086 -3.3211
-3.3275 -3.9328 3.9092
Er Al Zn Au
1 2 1 2
direct
0.0000 0.0000 0.0000
0.6667 0.3333 0.7016
0.3333 0.6667 0.2984
0.0000 0.0000 0.5000
0.6667 0.3333 0.2652
0.3333 0.6667 0.7348
```

Fermi-level density of states   0.29 states/eV/atom
DFT formation energy   -530 meV/atom
Magnetization   0.00 μB per cell
Total DFT energy (no corrections)   -3.843 eV per atom
SG   P-3m1 (164)
Calculated volume   111.2 Å³ per cell



No. 2
A relaxed structure of Er2AlZnAu6, computed with PBE.

Cell and atoms, written as POSCAR:
```
Er2AlZnAu6
1.0
-2.6794 -6.5303 2.6405
3.7509 -3.1772 -5.1236
4.6072 -3.5143 0.0109
Er Al Zn Au
2 1 1 6
direct
0.3068 0.8683 0.3948
0.6932 0.1317 0.6052
0.5000 0.5000 0.0000
0.0000 0.0000 0.0000
0.2671 0.7539 0.9983
0.8982 0.7127 0.8671
0.3409 0.3170 0.6104
0.7329 0.2461 0.0017
0.1018 0.2873 0.1329
0.6591 0.6830 0.3896
```

Fermi-level density of states   0.47 states/eV/atom
DFT formation energy   -505 meV/atom
Magnetization   0.00 μB per cell
Total DFT energy (no corrections)   -3.886 eV per atom
SG   P-1 (2)
Calculated volume   206.6 Å³ per cell



Copy entry 2 word for word.
A relaxed structure of Er2AlZnAu6, computed with PBE.

Cell and atoms, written as POSCAR:
```
Er2AlZnAu6
1.0
-2.6794 -6.5303 2.6405
3.7509 -3.1772 -5.1236
4.6072 -3.5143 0.0109
Er Al Zn Au
2 1 1 6
direct
0.3068 0.8683 0.3948
0.6932 0.1317 0.6052
0.5000 0.5000 0.0000
0.0000 0.0000 0.0000
0.2671 0.7539 0.9983
0.8982 0.7127 0.8671
0.3409 0.3170 0.6104
0.7329 0.2461 0.0017
0.1018 0.2873 0.1329
0.6591 0.6830 0.3896
```

Fermi-level density of states   0.47 states/eV/atom
DFT formation energy   -505 meV/atom
Magnetization   0.00 μB per cell
Total DFT energy (no corrections)   -3.886 eV per atom
SG   P-1 (2)
Calculated volume   206.6 Å³ per cell